[1]
First-principles (PBE) data for a relaxed Tl2Hg2Se crystal, as listed in Alexandria via LeMat-Bulk.

Properties
magnetic moment	0.00	μB per atom
raw formation energy	-0.196	eV/atom
offset from the most stable computed form	0.0	meV per atom

abc: 4.487 4.487 11.501
angles: 102.23 102.23 60.00
Fractional coordinates of all 5 atoms:
Tl 0.220 0.220 0.147
Tl 0.780 0.780 0.853
Hg 0.038 0.038 0.643
Hg 0.962 0.962 0.357
Se 0.500 0.500 0.000

=====

[2]
First-principles (PBE) data for a relaxed PrPb2S4 crystal, as listed in Alexandria via LeMat-Bulk.

Properties
magnetic moment	0.00	μB per atom
raw formation energy	-0.919	eV/atom

abc: 7.148 7.148 13.349
angles: 90.00 90.00 147.14
Fractional coordinates of all 14 atoms:
Pr 0.109 0.891 0.750
Pr 0.891 0.109 0.250
Pb 0.367 0.633 0.564
Pb 0.367 0.633 0.936
Pb 0.633 0.367 0.064
Pb 0.633 0.367 0.436
S 0.000 0.000 0.000
S 0.000 0.000 0.500
S 0.286 0.714 0.132
S 0.286 0.714 0.368
S 0.462 0.538 0.750
S 0.538 0.462 0.250
S 0.714 0.286 0.632
S 0.714 0.286 0.868

=====

[3]
First-principles (PBE) data for a relaxed PrCd6Au2 crystal, as listed in Alexandria via LeMat-Bulk.

Properties
magnetic moment	0.00	μB per atom
ΔH_f (0 K)	-1.1	eV per formula unit
offset from the most stable computed form	148.9	meV per atom

abc: 8.644 8.644 3.306
angles: 100.96 100.96 59.52
Fractional coordinates of all 9 atoms:
Pr 0.000 0.000 0.000
Cd 0.002 0.353 0.677
Cd 0.335 0.665 0.500
Cd 0.353 0.002 0.677
Cd 0.647 0.998 0.323
Cd 0.665 0.335 0.500
Cd 0.998 0.647 0.323
Au 0.355 0.355 0.857
Au 0.645 0.645 0.143

=====

[4]
First-principles (PBE) data for a relaxed UGaCo crystal, as listed in Alexandria via LeMat-Bulk.

Properties
magnetic moment	0.00	μB per atom
ΔH_f (0 K)	-0.6	eV per formula unit

abc: 7.220 7.220 7.220
angles: 32.29 32.29 32.29
Fractional coordinates of all 6 atoms:
U 0.201 0.201 0.201
U 0.799 0.799 0.799
Ga 0.363 0.363 0.363
Ga 0.637 0.637 0.637
Co 0.063 0.063 0.063
Co 0.937 0.937 0.937

=====

[5]
First-principles (PBE) data for a relaxed LaCd2Fe crystal, as listed in Alexandria via LeMat-Bulk.

Properties
magnetic moment	0.49	μB per atom
ΔH_f (0 K)	1.2	eV per formula unit

abc: 6.458 6.458 3.258
angles: 102.70 102.70 127.79
Fractional coordinates of all 4 atoms:
La 0.000 0.000 0.000
Cd 0.000 0.500 0.500
Cd 0.500 0.000 0.500
Fe 0.500 0.500 0.000

=====

[6]
First-principles (PBE) data for a relaxed Te4Os2I crystal, as listed in Alexandria via LeMat-Bulk.

Properties
magnetic moment	0.00	μB per atom
raw formation energy	1.031	eV/atom

abc: 8.795 8.795 8.795
angles: 142.90 142.90 53.48
Fractional coordinates of all 7 atoms:
Te 0.000 0.500 0.500
Te 0.234 0.234 0.000
Te 0.500 0.000 0.500
Te 0.766 0.766 0.000
Os 0.076 0.076 0.000
Os 0.924 0.924 0.000
I 0.500 0.500 0.000